Material: AlCu5
Method: DFT, meta-GGA SCAN
State: single point on PBEsol structure

Calculated values
energy of formation from the pure elements: -169 meV/atom
DOS(E_F): 2.0 states/eV/cell
total moment: 0.0 μB/f.u.
space group: Cmmm, No. 65

```
AlCu5
1.0
1.8060 -5.3779 0.0000
1.8060 5.3779 0.0000
0.0000 0.0000 3.6159
Al Cu
1 5
Direct
0.0000 0.0000 0.0000
0.1688 0.8312 0.5000
0.3335 0.6665 0.0000
0.5000 0.5000 0.5000
0.6665 0.3335 0.0000
0.8312 0.1688 0.5000
```